1.
Compound: MgZnRh2
Source: Alexandria via LeMat-Bulk
Functional: PBE-GGA
Structure: optimized geometry

Values from the calculation:
ΔH_f (0 K) = -0.263 eV per atom

Unit cell a=3.9152 b=2.8130 c=6.0573 alpha=62.70 beta=90.00 gamma=90.00
Sites, in units of the cell vectors:
Rh  0.5000  0.2415  0.2591
Zn  0.0000  0.5164  0.4841
Rh  0.0000  0.0016  0.9974
Mg  0.5000  0.7404  0.7594

2.
Compound: VReIr6
Source: Alexandria via LeMat-Bulk
Functional: PBE-GGA
Structure: optimized geometry

Values from the calculation:
ΔH_f (0 K) = -0.285 eV per atom

Unit cell a=3.8617 b=5.4592 c=5.4592 alpha=90.00 beta=90.00 gamma=90.00
Site moments in Bohr magnetons follow the coordinates.
Sites, in units of the cell vectors:
V  0.5000  0.0000  0.0000  0.63
Ir  0.5000  0.5000  0.0000  -0.04
Ir  0.0000  0.2500  0.2500  -0.03
Ir  0.0000  0.7500  0.2500  -0.03
Ir  0.0000  0.2500  0.7500  -0.03
Ir  0.0000  0.7500  0.7500  -0.03
Ir  0.5000  0.0000  0.5000  -0.04
Re  0.5000  0.5000  0.5000  0.35

3.
Compound: InH3Cl6
Source: Alexandria via LeMat-Bulk
Functional: PBE-GGA
Structure: optimized geometry

Values from the calculation:
VASP energy = -3.058 eV per atom

Unit cell a=12.2589 b=12.2589 c=12.2589 alpha=33.83 beta=33.83 gamma=33.83
Sites, in units of the cell vectors:
Cl  0.7109  0.3029  0.8700
H  0.7453  0.1597  0.3470
Cl  0.4341  0.7827  0.1669
Cl  0.3029  0.8700  0.7109
Cl  0.8700  0.7109  0.3029
Cl  0.7827  0.1669  0.4341
H  0.6530  0.2547  0.8403
Cl  0.8331  0.5659  0.2173
H  0.2547  0.8403  0.6530
In  0.0000  0.0000  0.0000
Cl  0.5659  0.2173  0.8331
Cl  0.2173  0.8331  0.5659
Cl  0.1300  0.2891  0.6971
H  0.1597  0.3470  0.7453
H  0.8403  0.6530  0.2547
H  0.3470  0.7453  0.1597
Cl  0.6971  0.1300  0.2891
In  0.5000  0.5000  0.5000
Cl  0.2891  0.6971  0.1300
Cl  0.1669  0.4341  0.7827

4.
Compound: CaTbPm2Pr4
Source: Alexandria via LeMat-Bulk
Functional: PBE-GGA
Structure: optimized geometry

Values from the calculation:
ΔH_f (0 K) = 0.358 eV per atom

Unit cell a=9.7884 b=9.7884 c=12.2844 alpha=128.86 beta=128.86 gamma=87.68
Sites, in units of the cell vectors:
Pm  0.5000  0.5000  0.0000
Pr  0.2428  0.2456  0.9827
Pm  0.0000  0.0000  0.5000
Pr  0.7456  0.7428  0.4827
Pm  0.5000  0.0000  0.5000
Tb  0.0000  0.5000  0.5000
Pr  0.2471  0.7505  0.5175
Ca  0.5000  0.5000  0.5000
Pr  0.2544  0.2572  0.5173
Ca  0.0000  0.0000  0.0000
Pr  0.7572  0.7544  0.0173
Pm  0.5000  0.0000  0.0000
Pr  0.7529  0.2495  0.4825
Pr  0.7495  0.2529  0.9825
Pr  0.2505  0.7471  0.0175
Tb  0.0000  0.5000  0.0000

Copy entry 4 word for word.
Compound: CaTbPm2Pr4
Source: Alexandria via LeMat-Bulk
Functional: PBE-GGA
Structure: optimized geometry

Values from the calculation:
ΔH_f (0 K) = 0.358 eV per atom

Unit cell a=9.7884 b=9.7884 c=12.2844 alpha=128.86 beta=128.86 gamma=87.68
Sites, in units of the cell vectors:
Pm  0.5000  0.5000  0.0000
Pr  0.2428  0.2456  0.9827
Pm  0.0000  0.0000  0.5000
Pr  0.7456  0.7428  0.4827
Pm  0.5000  0.0000  0.5000
Tb  0.0000  0.5000  0.5000
Pr  0.2471  0.7505  0.5175
Ca  0.5000  0.5000  0.5000
Pr  0.2544  0.2572  0.5173
Ca  0.0000  0.0000  0.0000
Pr  0.7572  0.7544  0.0173
Pm  0.5000  0.0000  0.0000
Pr  0.7529  0.2495  0.4825
Pr  0.7495  0.2529  0.9825
Pr  0.2505  0.7471  0.0175
Tb  0.0000  0.5000  0.0000